(a)
This record from Alexandria via LeMat-Bulk describes Nd2Ho4Er after structural relaxation. The functional is PBE.

a b c (Å): 8.4249 8.4249 6.5087
angles (deg): 90.00 90.00 90.00
Space group I4/mmm (No. 139)
Inequivalent atoms, fractional coordinates:
Nd 0.0000 0.5000 0.2500 [4 per cell]
Ho 0.1983 0.1983 0.0000 [8 per cell]
Er 0.0000 0.0000 0.5000 [2 per cell]

- Fermi-level density of states (states/eV per atom) = 1.725
- M_tot (μB per atom) = 0.000

(b)
This record from Alexandria via LeMat-Bulk describes Nd2Ho4Er after structural relaxation. The functional is PBE.

a b c (Å): 14.8800 3.6193 17.3830
angles (deg): 90.00 101.53 90.00
Space group C2/m (No. 12)
Inequivalent atoms, fractional coordinates:
Nd 0.1046 0.0000 0.3559 [4 per cell]
Nd 0.1705 0.5000 0.1698 [4 per cell]
Ho 0.0224 0.0000 0.8192 [4 per cell]
Ho 0.1341 0.5000 0.7073 [4 per cell]
Ho 0.1789 0.5000 0.9312 [4 per cell]
Ho 0.1952 0.0000 0.5571 [4 per cell]
Er 0.0000 0.0000 0.0000 [2 per cell]
Er 0.0000 0.5000 0.5000 [2 per cell]

- Fermi-level density of states (states/eV per atom) = 1.292
- M_tot (μB per atom) = 0.000

Least stable of them? (a).